# 1
Density functional theory data (PBE) for CeNdNi2 after structural relaxation.

Results
N(E_F): 0.678 states/eV/atom
Formation enthalpy at 0 K: -0.197 eV/atom
Calculated total energy: -69.16 eV/cell

Unit cell a=3.9599 b=3.9599 c=19.8602 alpha=90.00 beta=90.00 gamma=120.00
Last column: nearest neighbours and their distance in Å.
Space group R-3m (No. 166, hexagonal axes)
One atom of each set of equivalent atoms:
Ce (0.0000, 0.0000, 0.0000)  6 Ni 2.75
Nd (0.0000, 0.0000, 0.5000)  6 Ni 2.90
Ni (0.0000, 0.0000, 0.2566)  3 Ce 2.75, 3 Nd 2.90



# 2
Density functional theory data (PBE) for CeNd2Ni after structural relaxation.

Results
N(E_F): 2.034 states/eV/atom
Formation enthalpy at 0 K: 0.168 eV/atom
Calculated total energy: -61.74 eV/cell

Unit cell a=3.6204 b=3.6204 c=31.5562 alpha=90.00 beta=90.00 gamma=120.00
Last column: nearest neighbours and their distance in Å.
Space group R-3m (No. 166, hexagonal axes)
One atom of each set of equivalent atoms:
Ce (0.0000, 0.0000, 0.0000)  2 Nd 3.44, 6 Ce 3.62
Nd (0.0000, 0.0000, 0.1090)  3 Ni 2.77
Ni (0.0000, 0.0000, 0.5000)  6 Nd 2.77



# 3
Density functional theory data (PBE) for CeNdNiPt after structural relaxation.

Results
N(E_F): 1.909 states/eV/atom
Formation enthalpy at 0 K: -0.595 eV/atom
Calculated total energy: -99.61 eV/cell

Unit cell a=7.0792 b=7.0792 c=7.0792 alpha=90.00 beta=90.00 gamma=90.00
Last column: nearest neighbours and their distance in Å.
Space group F-43m (No. 216)
One atom of each set of equivalent atoms:
Ce (0.0000, 0.0000, 0.0000)  4 Ni 3.07, 4 Pt 3.07
Nd (0.0000, 0.0000, 0.5000)  4 Pt 3.07, 4 Ni 3.07
Ni (0.2500, 0.2500, 0.7500)  4 Nd 3.07, 4 Ce 3.07
Pt (0.2500, 0.2500, 0.2500)  4 Ce 3.07, 4 Nd 3.07



# 4
Density functional theory data (PBE) for CeNdNiPt after structural relaxation.

Results
N(E_F): 1.618 states/eV/atom
Formation enthalpy at 0 K: -0.708 eV/atom
Calculated total energy: -50.71 eV/cell

Unit cell a=4.4236 b=3.8317 c=10.7621 alpha=90.00 beta=90.00 gamma=90.00
Last column: nearest neighbours and their distance in Å.
Space group Amm2 (No. 38)
One atom of each set of equivalent atoms:
Ce (0.0000, 0.0000, 0.0000)  4 Ni 2.97, 3 Pt 2.98-3.10
Nd (0.5000, 0.0000, 0.2752)  3 Ni 2.90-3.13, 4 Pt 3.00
Ni (0.5000, 0.0000, 0.5447)  2 Pt 2.85, 3 Nd 2.90-3.13, 4 Ce 2.97
Pt (0.0000, 0.0000, 0.7124)  2 Ni 2.85, 3 Ce 2.98-3.10, 4 Nd 3.00



# 5
Density functional theory data (PBE) for CeNd2NiS5 after structural relaxation.

Results
N(E_F): 0.561 states/eV/atom
Formation energy (no corrections): -1726 meV per atom
Calculated total energy: -229.70 eV/cell

Unit cell a=3.8670 b=16.6689 c=12.0135 alpha=90.00 beta=90.00 gamma=90.00
Last column: nearest neighbours and their distance in Å.
Space group Cmc2_1 (No. 36)
One atom of each set of equivalent atoms:
Ce (0.0000, 0.1749, 0.0000)  6 S 2.68-2.82
Nd (0.0000, 0.1132, 0.3227)  7 S 2.86-3.04
Nd (0.0000, 0.1154, 0.6669)  8 S 2.87-3.11
Ni (0.0000, 0.4486, 0.3930)  4 S 2.25-2.29
S (0.0000, 0.0147, 0.9810)  2 Ni 2.29
S (0.0000, 0.3014, 0.6677)  2 Ce 2.82, 3 Nd 3.04-3.10
S (0.0000, 0.3197, 0.3327)  1 Ni 2.27
S (0.0000, 0.3422, 0.9930)  1 Ce 2.79, 4 Nd 2.91-2.93
S (0.0000, 0.4946, 0.7230)  1 Ni 2.25



# 6
Density functional theory data (PBE) for Ce2NdNiS5 after structural relaxation.

Results
N(E_F): 1.072 states/eV/atom
Formation energy (no corrections): -1726 meV per atom
Calculated total energy: -234.34 eV/cell

Unit cell a=3.8475 b=16.7420 c=11.9065 alpha=90.00 beta=90.00 gamma=90.00
Last column: nearest neighbours and their distance in Å.
Space group Cmc2_1 (No. 36)
One atom of each set of equivalent atoms:
Ce (0.0000, 0.1117, 0.0000)  7 S 2.74-3.00
Ce (0.0000, 0.1141, 0.3438)  8 S 2.87-3.14
Nd (0.0000, 0.1740, 0.6780)  6 S 2.78-2.84
Ni (0.0000, 0.4529, 0.0633)  4 S 2.20-2.30
S (0.0000, 0.0090, 0.6549)  2 Ni 2.30
S (0.0000, 0.3014, 0.3500)  2 Nd 2.84, 3 Ce 3.00-3.14
S (0.0000, 0.3237, 0.0044)  1 Ni 2.27
S (0.0000, 0.3433, 0.6705)  1 Nd 2.84, 4 Ce 2.90-2.91
S (0.0000, 0.4925, 0.3950)  1 Ni 2.20